Computed, not measured: a relaxed structure of Cs2AcTc2N6 at the GGA-PBE level of DFT.

Computed properties:
magnetization = 1.02 μB/f.u.
total energy = -7.16 eV/atom
uncorrected formation energy = -202 meV per atom

Geometry as CIF:
```
data_Cs2AcTc2N6
_cell_length_a 11.560
_cell_length_b 6.657
_cell_length_c 7.727
_cell_angle_alpha 90.00
_cell_angle_beta 120.17
_cell_angle_gamma 90.00
_symmetry_space_group_name_H-M 'C 1 2/m 1'
_symmetry_Int_Tables_number 12
loop_
_symmetry_equiv_pos_as_xyz
'x,y,z'
'-x,-y,-z'
'-x,y,-z'
'x,-y,z'
'x+1/2,y+1/2,z'
'-x+1/2,-y+1/2,-z'
'-x+1/2,y+1/2,-z'
'x+1/2,-y+1/2,z'
loop_
_atom_site_label
_atom_site_type_symbol
_atom_site_fract_x
_atom_site_fract_y
_atom_site_fract_z
_atom_site_occupancy
Cs1 Cs 0.220 0.000 0.165 1
Ac1 Ac 0.000 0.000 0.500 1
Tc1 Tc 0.066 0.500 0.204 1
N1 N 0.012 0.276 0.267 1
N2 N 0.238 0.500 0.275 1
```

---

Computed, not measured: a relaxed structure of CsAc2Tc2N6 at the GGA-PBE level of DFT.

Computed properties:
magnetization = 0.00 μB/f.u.
total energy = -7.72 eV/atom
uncorrected formation energy = -472 meV per atom

Geometry as CIF:
```
data_CsAc2Tc2N6
_cell_length_a 6.539
_cell_length_b 7.038
_cell_length_c 7.141
_cell_angle_alpha 95.43
_cell_angle_beta 116.84
_cell_angle_gamma 113.34
_symmetry_space_group_name_H-M 'P -1'
_symmetry_Int_Tables_number 2
loop_
_symmetry_equiv_pos_as_xyz
'x,y,z'
'-x,-y,-z'
loop_
_atom_site_label
_atom_site_type_symbol
_atom_site_fract_x
_atom_site_fract_y
_atom_site_fract_z
_atom_site_occupancy
Cs1 Cs 0.000 0.000 0.000 1
Ac1 Ac 0.374 0.283 0.679 1
Tc1 Tc 0.218 0.675 0.654 1
N1 N 0.130 0.894 0.643 1
N2 N 0.294 0.591 0.894 1
N3 N 0.441 0.691 0.569 1
```

---

Computed, not measured: a relaxed structure of CsNa4Ac at the GGA-PBE level of DFT.

Computed properties:
magnetization = 0.00 μB/f.u.
total energy = -1.49 eV/atom
energy of formation = 221 meV/atom

Geometry as CIF:
```
data_CsNa4Ac
_cell_length_a 10.277
_cell_length_b 10.277
_cell_length_c 10.277
_cell_angle_alpha 90.00
_cell_angle_beta 90.00
_cell_angle_gamma 90.00
_symmetry_space_group_name_H-M 'F -4 3 m'
_symmetry_Int_Tables_number 216
_symmetry_space_group_name_Hall 'F -4 2 3'
loop_
_atom_site_label
_atom_site_type_symbol
_atom_site_fract_x
_atom_site_fract_y
_atom_site_fract_z
_atom_site_occupancy
Cs1 Cs 0.000 0.000 0.000 1
Na1 Na 0.124 0.124 0.376 1
Ac1 Ac 0.250 0.250 0.750 1
```